<A>
VASP calculation (SCAN) on a PBEsol-optimized structure of ZnCdCl2.

Cell: 6.568 6.568 6.568 Å, 145.92 145.92 48.96°
Positions (direct):
1 Zn 0.000 0.000 0.000
2 Cd 0.750 0.250 0.500
3 Cl 0.250 0.750 0.500
4 Cl 0.500 0.500 0.000

Output
Space group   I-4m2 (119)
DOS at the Fermi energy   2.279 states/eV/cell

=====

<B>
VASP calculation (SCAN) on a PBEsol-optimized structure of ZnCdCl2.

Cell: 3.233 3.233 7.844 Å, 90.00 90.00 90.00°
Positions (direct):
1 Zn 0.000 0.000 0.000
2 Cd 0.500 0.500 0.269
3 Cl 0.000 0.000 0.470
4 Cl 0.500 0.500 0.837

Output
Space group   P4mm (99)
DOS at the Fermi energy   1.222 states/eV/cell

=====

The energetic minimum among the shown structures is <B>; the next structure lies 0.193 eV/atom above.